First-principles (PBE) data for a geometry-optimized K2NaTcBr6 structure, as listed in OQMD via LeMat-Bulk.

Values from the calculation:
VASP energy = -34.86 eV for the cell shown

Cell lengths 7.652, 7.652, 7.652 Å; angles 121.83, 121.83, 86.86 degrees
Sites, in units of the cell vectors:
1 K 0.250 0.750 0.500
2 K 0.750 0.250 0.500
3 Na 0.000 0.000 0.000
4 Tc 0.500 0.500 0.000
5 Br 0.199 0.667 0.866
6 Br 0.268 0.268 0.000
7 Br 0.333 0.199 0.533
8 Br 0.667 0.801 0.467
9 Br 0.732 0.732 0.000
10 Br 0.801 0.333 0.134

=====

First-principles (PBE) data for a geometry-optimized K2NaTcBr6 structure, as listed in OQMD via LeMat-Bulk.

Values from the calculation:
VASP energy = -34.67 eV for the cell shown

Cell lengths 7.634, 7.634, 7.634 Å; angles 60.00, 60.00, 60.00 degrees
Sites, in units of the cell vectors:
1 K 0.250 0.250 0.250
2 K 0.750 0.750 0.750
3 Na 0.000 0.000 0.000
4 Tc 0.500 0.500 0.500
5 Br 0.264 0.264 0.736
6 Br 0.264 0.736 0.264
7 Br 0.264 0.736 0.736
8 Br 0.736 0.264 0.264
9 Br 0.736 0.264 0.736
10 Br 0.736 0.736 0.264

=====

First-principles (PBE) data for a geometry-optimized K2NaZnBr6 structure, as listed in OQMD via LeMat-Bulk.

Values from the calculation:
VASP energy = -26.28 eV for the cell shown

Cell lengths 7.728, 7.728, 7.728 Å; angles 122.10, 122.10, 86.41 degrees
Sites, in units of the cell vectors:
1 K 0.250 0.750 0.500
2 K 0.750 0.250 0.500
3 Na 0.000 0.000 0.000
4 Zn 0.500 0.500 0.000
5 Br 0.192 0.664 0.856
6 Br 0.263 0.263 0.000
7 Br 0.336 0.192 0.528
8 Br 0.664 0.808 0.472
9 Br 0.737 0.737 0.000
10 Br 0.808 0.336 0.144

=====

First-principles (PBE) data for a geometry-optimized K2NaZnBr6 structure, as listed in OQMD via LeMat-Bulk.

Values from the calculation:
VASP energy = -26.19 eV for the cell shown

Cell lengths 7.695, 7.695, 7.695 Å; angles 60.00, 60.00, 60.00 degrees
Sites, in units of the cell vectors:
1 K 0.250 0.250 0.250
2 K 0.750 0.750 0.750
3 Na 0.000 0.000 0.000
4 Zn 0.500 0.500 0.500
5 Br 0.261 0.261 0.739
6 Br 0.261 0.739 0.261
7 Br 0.261 0.739 0.739
8 Br 0.739 0.261 0.261
9 Br 0.739 0.261 0.739
10 Br 0.739 0.739 0.261

=====

First-principles (PBE) data for a geometry-optimized K3NbBr6 structure, as listed in OQMD via LeMat-Bulk.

Values from the calculation:
VASP energy = -36.80 eV for the cell shown

Cell lengths 7.936, 7.936, 7.936 Å; angles 61.94, 61.94, 61.94 degrees
Sites, in units of the cell vectors:
1 K 0.000 0.000 0.000
2 K 0.280 0.280 0.280
3 K 0.720 0.720 0.720
4 Nb 0.500 0.500 0.500
5 Br 0.175 0.380 0.704
6 Br 0.296 0.825 0.620
7 Br 0.380 0.704 0.175
8 Br 0.620 0.296 0.825
9 Br 0.704 0.175 0.380
10 Br 0.825 0.620 0.296

=====

First-principles (PBE) data for a geometry-optimized KNiBr3 structure, as listed in OQMD via LeMat-Bulk.

Values from the calculation:
VASP energy = -32.19 eV for the cell shown

Cell lengths 7.224, 7.224, 6.297 Å; angles 96.44, 96.44, 59.99 degrees
Sites, in units of the cell vectors:
1 K 0.165 0.165 0.242
2 K 0.835 0.835 0.758
3 Ni 0.500 0.500 0.000
4 Ni 0.500 0.500 0.500
5 Br 0.178 0.660 0.227
6 Br 0.338 0.338 0.705
7 Br 0.340 0.822 0.773
8 Br 0.660 0.178 0.227
9 Br 0.662 0.662 0.295
10 Br 0.822 0.340 0.773

=====

First-principles (PBE) data for a geometry-optimized K2NiPdBr6 structure, as listed in OQMD via LeMat-Bulk.

Values from the calculation:
VASP energy = -31.44 eV for the cell shown

Cell lengths 7.292, 7.292, 7.292 Å; angles 60.00, 60.00, 60.00 degrees
Sites, in units of the cell vectors:
1 K 0.250 0.250 0.250
2 K 0.750 0.750 0.750
3 Ni 0.000 0.000 0.000
4 Pd 0.500 0.500 0.500
5 Br 0.245 0.245 0.755
6 Br 0.245 0.755 0.245
7 Br 0.245 0.755 0.755
8 Br 0.755 0.245 0.245
9 Br 0.755 0.245 0.755
10 Br 0.755 0.755 0.245

=====

First-principles (PBE) data for a geometry-optimized K2NiSnBr6 structure, as listed in OQMD via LeMat-Bulk.

Values from the calculation:
VASP energy = -31.62 eV for the cell shown

Cell lengths 7.655, 7.655, 7.655 Å; angles 60.00, 60.00, 60.00 degrees
Sites, in units of the cell vectors:
1 K 0.250 0.250 0.250
2 K 0.750 0.750 0.750
3 Ni 0.000 0.000 0.000
4 Sn 0.500 0.500 0.500
5 Br 0.236 0.236 0.764
6 Br 0.236 0.764 0.236
7 Br 0.236 0.764 0.764
8 Br 0.764 0.236 0.236
9 Br 0.764 0.236 0.764
10 Br 0.764 0.764 0.236

=====

First-principles (PBE) data for a geometry-optimized K2TcNiBr6 structure, as listed in OQMD via LeMat-Bulk.

Values from the calculation:
VASP energy = -35.80 eV for the cell shown

Cell lengths 7.401, 7.401, 7.401 Å; angles 60.00, 60.00, 60.00 degrees
Sites, in units of the cell vectors:
1 K 0.250 0.250 0.250
2 K 0.750 0.750 0.750
3 Tc 0.000 0.000 0.000
4 Ni 0.500 0.500 0.500
5 Br 0.254 0.254 0.746
6 Br 0.254 0.746 0.254
7 Br 0.254 0.746 0.746
8 Br 0.746 0.254 0.254
9 Br 0.746 0.254 0.746
10 Br 0.746 0.746 0.254

=====

First-principles (PBE) data for a geometry-optimized K2NpBr6 structure, as listed in OQMD via LeMat-Bulk.

Values from the calculation:
VASP energy = -77.21 eV for the cell shown

Cell lengths 7.362, 7.362, 14.217 Å; angles 90.00, 90.00, 90.00 degrees
Sites, in units of the cell vectors:
1 K 0.000 0.000 0.166
2 K 0.000 0.000 0.834
3 K 0.500 0.500 0.334
4 K 0.500 0.500 0.666
5 Np 0.000 0.000 0.500
6 Np 0.500 0.500 0.000
7 Br 0.184 0.184 0.358
8 Br 0.184 0.184 0.642
9 Br 0.233 0.233 0.000
10 Br 0.267 0.733 0.500
11 Br 0.316 0.684 0.142
12 Br 0.316 0.684 0.858
13 Br 0.684 0.316 0.142
14 Br 0.684 0.316 0.858
15 Br 0.733 0.267 0.500
16 Br 0.767 0.767 0.000
17 Br 0.816 0.816 0.358
18 Br 0.816 0.816 0.642

=====

First-principles (PBE) data for a geometry-optimized KRe2Br6O2 structure, as listed in OQMD via LeMat-Bulk.

Values from the calculation:
VASP energy = -55.40 eV for the cell shown

Cell lengths 8.817, 8.817, 8.817 Å; angles 155.18, 104.81, 80.60 degrees
Sites, in units of the cell vectors:
1 K 0.000 0.000 0.000
2 Re 0.365 0.500 0.865
3 Re 0.635 0.500 0.135
4 Br 0.060 0.371 0.689
5 Br 0.319 0.629 0.689
6 Br 0.346 0.346 0.000
7 Br 0.654 0.654 0.000
8 Br 0.681 0.371 0.311
9 Br 0.940 0.629 0.311
10 O 0.365 0.000 0.365
11 O 0.635 0.000 0.635

=====

First-principles (PBE) data for a geometry-optimized KTa4BrO5 structure, as listed in OQMD via LeMat-Bulk.

Values from the calculation:
VASP energy = -97.33 eV for the cell shown

Cell lengths 4.185, 4.185, 9.392 Å; angles 90.00, 90.00, 90.00 degrees
Sites, in units of the cell vectors:
1 K 0.000 0.000 0.000
2 Ta 0.000 0.500 0.500
3 Ta 0.500 0.000 0.500
4 Ta 0.500 0.500 0.290
5 Ta 0.500 0.500 0.710
6 Br 0.500 0.500 0.000
7 O 0.000 0.000 0.500
8 O 0.000 0.500 0.276
9 O 0.000 0.500 0.724
10 O 0.500 0.000 0.276
11 O 0.500 0.000 0.724

=====

First-principles (PBE) data for a geometry-optimized K2OsBr6 structure, as listed in OQMD via LeMat-Bulk.

Values from the calculation:
VASP energy = -31.25 eV for the cell shown

Cell lengths 7.400, 7.400, 7.549 Å; angles 120.29, 120.29, 60.02 degrees
Sites, in units of the cell vectors:
1 K 0.249 0.249 0.250
2 K 0.751 0.751 0.750
3 Os 0.000 0.000 0.500
4 Br 0.213 0.735 0.707
5 Br 0.238 0.238 0.786
6 Br 0.265 0.787 0.293
7 Br 0.735 0.213 0.707
8 Br 0.762 0.762 0.214
9 Br 0.787 0.265 0.293

=====

First-principles (PBE) data for a geometry-optimized K2OsBr6 structure, as listed in OQMD via LeMat-Bulk.

Values from the calculation:
VASP energy = -31.24 eV for the cell shown

Cell lengths 7.466, 7.466, 7.466 Å; angles 120.56, 120.56, 89.03 degrees
Sites, in units of the cell vectors:
1 K 0.250 0.750 0.500
2 K 0.750 0.250 0.500
3 Os 0.000 0.000 0.000
4 Br 0.221 0.744 0.965
5 Br 0.235 0.235 0.000
6 Br 0.256 0.221 0.477
7 Br 0.744 0.779 0.523
8 Br 0.765 0.765 0.000
9 Br 0.779 0.256 0.035

=====

First-principles (PBE) data for a geometry-optimized K3PdBr6 structure, as listed in OQMD via LeMat-Bulk.

Values from the calculation:
VASP energy = -29.44 eV for the cell shown

Cell lengths 7.796, 7.796, 7.796 Å; angles 62.97, 62.97, 62.97 degrees
Sites, in units of the cell vectors:
1 K 0.000 0.000 0.000
2 K 0.279 0.279 0.279
3 K 0.721 0.721 0.721
4 Pd 0.500 0.500 0.500
5 Br 0.181 0.381 0.701
6 Br 0.299 0.819 0.619
7 Br 0.381 0.701 0.181
8 Br 0.619 0.299 0.819
9 Br 0.701 0.181 0.381
10 Br 0.819 0.619 0.299

=====

First-principles (PBE) data for a geometry-optimized K3PdBr6 structure, as listed in OQMD via LeMat-Bulk.

Values from the calculation:
VASP energy = -29.06 eV for the cell shown

Cell lengths 7.971, 7.971, 7.971 Å; angles 60.00, 60.00, 60.00 degrees
Sites, in units of the cell vectors:
1 K 0.000 0.000 0.000
2 K 0.250 0.250 0.250
3 K 0.750 0.750 0.750
4 Pd 0.500 0.500 0.500
5 Br 0.273 0.273 0.727
6 Br 0.273 0.727 0.273
7 Br 0.273 0.727 0.727
8 Br 0.727 0.273 0.273
9 Br 0.727 0.273 0.727
10 Br 0.727 0.727 0.273

=====

First-principles (PBE) data for a geometry-optimized K2PdPtBr6 structure, as listed in OQMD via LeMat-Bulk.

Values from the calculation:
VASP energy = -31.63 eV for the cell shown

Cell lengths 7.417, 7.417, 7.417 Å; angles 60.00, 60.00, 60.00 degrees
Sites, in units of the cell vectors:
1 K 0.250 0.250 0.250
2 K 0.750 0.750 0.750
3 Pd 0.000 0.000 0.000
4 Pt 0.500 0.500 0.500
5 Br 0.253 0.253 0.747
6 Br 0.253 0.747 0.253
7 Br 0.253 0.747 0.747
8 Br 0.747 0.253 0.253
9 Br 0.747 0.253 0.747
10 Br 0.747 0.747 0.253

=====

First-principles (PBE) data for a geometry-optimized K2TlPdBr6 structure, as listed in OQMD via LeMat-Bulk.

Values from the calculation:
VASP energy = -58.74 eV for the cell shown

Cell lengths 7.495, 8.050, 13.212 Å; angles 90.00, 123.68, 90.00 degrees
Sites, in units of the cell vectors:
1 K 0.216 0.084 0.243
2 K 0.216 0.416 0.743
3 K 0.784 0.584 0.257
4 K 0.784 0.916 0.757
5 Tl 0.500 0.000 0.000
6 Tl 0.500 0.500 0.500
7 Pd 0.000 0.000 0.500
8 Pd 0.000 0.500 0.000
9 Br 0.142 0.217 0.962
10 Br 0.142 0.283 0.462
11 Br 0.235 0.669 0.954
12 Br 0.235 0.831 0.454
13 Br 0.311 0.005 0.729
14 Br 0.311 0.495 0.229
15 Br 0.689 0.505 0.771
16 Br 0.689 0.995 0.271
17 Br 0.765 0.169 0.546
18 Br 0.765 0.331 0.046
19 Br 0.858 0.717 0.538
20 Br 0.858 0.783 0.038

=====

First-principles (PBE) data for a geometry-optimized KTl2PdBr6 structure, as listed in OQMD via LeMat-Bulk.

Values from the calculation:
VASP energy = -27.91 eV for the cell shown

Cell lengths 7.928, 7.928, 7.928 Å; angles 60.00, 60.00, 60.00 degrees
Sites, in units of the cell vectors:
1 K 0.000 0.000 0.000
2 Tl 0.250 0.250 0.250
3 Tl 0.750 0.750 0.750
4 Pd 0.500 0.500 0.500
5 Br 0.272 0.272 0.728
6 Br 0.272 0.728 0.272
7 Br 0.272 0.728 0.728
8 Br 0.728 0.272 0.272
9 Br 0.728 0.272 0.728
10 Br 0.728 0.728 0.272

=====

First-principles (PBE) data for a geometry-optimized K3PmBr6 structure, as listed in OQMD via LeMat-Bulk.

Values from the calculation:
VASP energy = -72.69 eV for the cell shown

Cell lengths 7.944, 8.484, 13.738 Å; angles 90.00, 123.85, 90.00 degrees
Sites, in units of the cell vectors:
1 K 0.000 0.000 0.000
2 K 0.000 0.500 0.500
3 K 0.209 0.079 0.740
4 K 0.209 0.421 0.240
5 K 0.791 0.579 0.760
6 K 0.791 0.921 0.260
7 Pm 0.500 0.000 0.500
8 Pm 0.500 0.500 0.000
9 Br 0.148 0.181 0.440
10 Br 0.148 0.319 0.940
11 Br 0.251 0.719 0.419
12 Br 0.251 0.781 0.919
13 Br 0.407 0.060 0.268
14 Br 0.407 0.440 0.768
15 Br 0.593 0.560 0.232
16 Br 0.593 0.940 0.732
17 Br 0.749 0.219 0.081
18 Br 0.749 0.281 0.581
19 Br 0.852 0.681 0.060
20 Br 0.852 0.819 0.560